Below is KWBr at its PBEsol-relaxed geometry, with properties calculated at the meta-GGA SCAN level.

Results
Its total energy is -93.1 eV per formula unit. The calculation puts the volume at 101.3 Å³ per cell.

Cell: 5.2318 5.2318 5.2318 Å, 60.00 60.00 60.00°
Site moments in Bohr magnetons follow the coordinates.
Element x y z (fractional)
Br1 0.2500 0.2500 0.2500  0.16
K1 0.0000 0.0000 0.0000  0.04
W1 0.5000 0.5000 0.5000  3.73